The following is a PBE calculation of Tc2HgPb after structural relaxation, from Alexandria via LeMat-Bulk.

Cell: 4.1463 4.1463 8.5376 Å, 90.00 90.00 90.00°
Closest atoms and distances in Å follow each position.
Fractional positions:
Tc (0.0000, 0.0000, 0.0000)  4 Pb 2.93, 4 Hg 2.98, 4 Tc 2.98
Tc (0.0000, 0.5000, 0.2500)  4 Hg 2.93, 4 Pb 2.98, 4 Tc 2.98
Tc (0.5000, 0.0000, 0.7500)  4 Hg 2.93, 4 Pb 2.98, 4 Tc 2.98
Tc (0.5000, 0.5000, 0.5000)  4 Pb 2.93, 4 Hg 2.98, 4 Tc 2.98
Hg (0.0000, 0.5000, 0.7500)  8 Tc 2.93-2.98, 4 Pb 2.98
Hg (0.5000, 0.0000, 0.2500)  8 Tc 2.93-2.98, 4 Pb 2.98
Pb (0.0000, 0.0000, 0.5000)  8 Tc 2.93-2.98, 4 Hg 2.98
Pb (0.5000, 0.5000, 0.0000)  8 Tc 2.93-2.98, 4 Hg 2.98

Results
Space group: I-4m2
Polymorph energy (0 for the lowest one), meV per atom: 573.3
Energy of formation, eV per atom: 0.85
ρ, Mg/m³: 13.66
Total magnetic moment, Bohr magnetons per cell: 0.0
Energy, Ry per atom: -0.3924